# Ta2As | Alexandria via LeMat-Bulk | GGA-PBE | relaxed
data_Ta2As
_chemical_formula_sum 'Ta2 As1'
_cell_length_a 4.190
_cell_length_b 4.190
_cell_length_c 3.314
_cell_angle_alpha 90.00
_cell_angle_beta 90.00
_cell_angle_gamma 90.00
_space_group_name_H-M_alt 'P 1'
_space_group_IT_number 1
loop_
_space_group_symop_operation_xyz
'x,y,z'
loop_
_atom_site_label
_atom_site_type_symbol
_atom_site_fract_x
_atom_site_fract_y
_atom_site_fract_z
Ta1 Ta 0.000 0.500 0.000
Ta2 Ta 0.500 0.000 0.000
As1 As 0.000 0.000 0.500
# Symmetry: P4/mmm (123)
# Total magnetic moment in μB/f.u.: 0.00
# Formation enthalpy at 0 K in eV per atom: 0.339